[1]
The following is a GGA-PBE calculation of an optimized crystal structure of K2MnZn2Te4, from the Alexandria database.

Output
- Total energy: -31.74 eV/cell
- Formation energy from raw total energies: -585 meV per atom
- SG: No. 12
- V: 31.22 Å³ per atom

Lattice parameters (Å, degrees): 4.287 8.593 8.309 107.95 90.00 104.45
Site moments in Bohr magnetons follow the coordinates.
Element x y z (fractional)
1 Te 0.794 0.588 0.813  0.02
2 Te 0.206 0.412 0.187  0.02
3 Te 0.514 0.028 0.775  0.05
4 Te 0.486 0.972 0.225  0.05
5 K 0.124 0.249 0.552  0.00
6 K 0.876 0.751 0.448  0.00
7 Mn 0.000 0.000 0.000  4.30
8 Zn 0.329 0.657 0.023  0.01
9 Zn 0.671 0.343 0.977  0.01



[2]
The following is a GGA-PBE calculation of an optimized crystal structure of KMnZnTe3, from the Alexandria database.

Output
- Total energy: -47.77 eV/cell
- Formation energy from raw total energies: -487 meV per atom
- SG: No. 11
- V: 32.82 Å³ per atom

Lattice parameters (Å, degrees): 4.108 8.115 12.549 109.72 90.00 90.00
Site moments in Bohr magnetons follow the coordinates.
Element x y z (fractional)
1 Te 0.750 0.249 0.538  0.01
2 Te 0.750 0.889 0.181  -0.08
3 Te 0.250 0.576 0.885  -0.07
4 Te 0.250 0.751 0.462  0.01
5 Te 0.750 0.424 0.115  -0.07
6 Te 0.250 0.111 0.819  -0.08
7 Zn 0.250 0.099 0.604  0.01
8 Zn 0.750 0.901 0.396  0.01
9 K 0.250 0.285 0.308  0.00
10 K 0.750 0.715 0.692  0.00
11 Mn 0.250 0.652 0.121  3.84
12 Mn 0.750 0.348 0.879  3.84



[3]
The following is a GGA-PBE calculation of an optimized crystal structure of KZr2MnTe, from the Alexandria database.

Output
- Total energy: -26.48 eV/cell
- Formation energy from raw total energies: 805 meV per atom
- SG: No. 123
- V: 30.34 Å³ per atom

Lattice parameters (Å, degrees): 5.476 5.059 5.476 90.00 90.00 90.00
Site moments in Bohr magnetons follow the coordinates.
Element x y z (fractional)
1 Te 0.000 0.000 0.000  -0.02
2 Zr 0.500 0.000 0.000  -0.09
3 Zr 0.000 0.000 0.500  -0.17
4 Mn 0.000 0.500 0.000  3.63
5 K 0.500 0.500 0.500  -0.01



[4]
The following is a GGA-PBE calculation of an optimized crystal structure of KZrMnTe4, from the Alexandria database.

Output
- Total energy: -71.22 eV/cell
- Formation energy from raw total energies: -604 meV per atom
- SG: No. 11
- V: 32.24 Å³ per atom

Lattice parameters (Å, degrees): 7.388 6.227 11.931 90.00 124.68 90.00
Site moments in Bohr magnetons follow the coordinates.
Element x y z (fractional)
1 Zr 0.292 0.250 0.555  0.17
2 Zr 0.708 0.750 0.445  0.17
3 Te 0.107 0.994 0.687  0.04
4 Te 0.504 0.750 0.600  0.03
5 Te 0.309 0.750 0.157  0.02
6 Te 0.691 0.250 0.843  0.02
7 Te 0.496 0.250 0.400  0.03
8 Te 0.893 0.006 0.313  0.04
9 Te 0.893 0.494 0.313  0.04
10 Te 0.107 0.506 0.687  0.04
11 K 0.295 0.250 0.028  0.00
12 K 0.705 0.750 0.972  0.00
13 Mn 0.212 0.750 0.335  3.86
14 Mn 0.788 0.250 0.665  3.86



Copy entry 1 word for word.
The following is a GGA-PBE calculation of an optimized crystal structure of K2MnZn2Te4, from the Alexandria database.

Output
- Total energy: -31.74 eV/cell
- Formation energy from raw total energies: -585 meV per atom
- SG: No. 12
- V: 31.22 Å³ per atom

Lattice parameters (Å, degrees): 4.287 8.593 8.309 107.95 90.00 104.45
Site moments in Bohr magnetons follow the coordinates.
Element x y z (fractional)
1 Te 0.794 0.588 0.813  0.02
2 Te 0.206 0.412 0.187  0.02
3 Te 0.514 0.028 0.775  0.05
4 Te 0.486 0.972 0.225  0.05
5 K 0.124 0.249 0.552  0.00
6 K 0.876 0.751 0.448  0.00
7 Mn 0.000 0.000 0.000  4.30
8 Zn 0.329 0.657 0.023  0.01
9 Zn 0.671 0.343 0.977  0.01



Q: Look up the V of the second one.
A: 32.82 Å³ per atom



Q: Which value of total energy does entry 1 give?
A: -31.74 eV/cell



Q: Which of these has the highest V?
A: KMnZnTe3